This record from Alexandria via LeMat-Bulk describes a relaxed TiIrRuBr2 crystal. The functional is PBEsol.

```
5
Lattice="-0.084 -1.486 4.336 4.622 0.872 0.388 -0.951 4.379 1.482" Properties=species:S:1:pos:R:3 pbc="T T T"
Ru -0.042 -0.743 2.168
Ir 1.794 1.883 3.103
Br -0.475 2.190 0.741
Br 2.311 0.436 0.194
Ti 0.000 0.000 0.000
```

raw total energy	-5.13	eV/atom
total magnetic moment	1.7	μB/cell